Entry w
Density functional theory data (GGA-PBE) for CsK2NaTl after structural relaxation.

a = 6.9960 Å, b = 6.9960 Å, c = 6.3146 Å
α = 90.00°, β = 90.00°, γ = 90.00°
Element x y z (fractional)
Cs 0.0000 0.0000 0.0000
K 0.0000 0.5000 0.5000
K 0.5000 0.0000 0.5000
Na 0.5000 0.5000 0.0000
Tl 0.5000 0.5000 0.5000

Properties
- N(E_F) (states/eV per atom) = 0.564
- mass density (Mg/m³) = 2.356
- SG = P4/mmm, No. 123

=====

Entry x
Density functional theory data (GGA-PBE) for CsK2NaTl after structural relaxation.

a = 7.0659 Å, b = 7.0659 Å, c = 6.0817 Å
α = 90.00°, β = 90.00°, γ = 90.00°
Element x y z (fractional)
Cs 0.0000 0.0000 0.0000
K 0.0000 0.5000 0.5000
K 0.5000 0.0000 0.5000
Na 0.5000 0.5000 0.5000
Tl 0.5000 0.5000 0.0000

Properties
- N(E_F) (states/eV per atom) = 0.825
- mass density (Mg/m³) = 2.398
- SG = P4/mmm, No. 123

=====

Stability summary: most stable entry w, least stable entry x.

=====

Entry w
Density functional theory data (GGA-PBE) for CsKNi after structural relaxation.

a = 4.3232 Å, b = 8.3586 Å, c = 9.2770 Å
α = 101.48°, β = 103.29°, γ = 90.03°
Element x y z (fractional)
Cs 0.0000 0.0000 0.0000
Cs 0.2339 0.9517 0.4787
K 0.5646 0.4864 0.1321
K 0.7964 0.4519 0.6067
Ni 0.1573 0.2766 0.3209
Ni 0.6465 0.1919 0.2994

Properties
- N(E_F) (states/eV per atom) = 0.850
- mass density (Mg/m³) = 2.399
- SG = P1, No. 1

=====

Entry x
Density functional theory data (GGA-PBE) for CsKNi after structural relaxation.

a = 4.3148 Å, b = 8.3594 Å, c = 9.4263 Å
α = 78.80°, β = 76.90°, γ = 90.00°
Element x y z (fractional)
Cs 0.0970 0.2798 0.3109
Cs 0.9030 0.7202 0.6891
K 0.3236 0.2243 0.8521
K 0.6764 0.7757 0.1479
Ni 0.2538 0.5423 0.9925
Ni 0.7462 0.4577 0.0075

Properties
- N(E_F) (states/eV per atom) = 0.821
- mass density (Mg/m³) = 2.361
- SG = P-1, No. 2

=====

Entry y
Density functional theory data (GGA-PBE) for CsKNi after structural relaxation.

a = 5.7112 Å, b = 5.7112 Å, c = 13.9185 Å
α = 90.00°, β = 90.00°, γ = 120.00°
Element x y z (fractional)
Cs 0.0000 0.0000 0.0000
Cs 0.3333 0.6667 0.6667
Cs 0.6667 0.3333 0.3333
K 0.0000 0.0000 0.5003
K 0.3333 0.6667 0.1670
K 0.6667 0.3333 0.8337
Ni 0.0000 0.0000 0.2503
Ni 0.3333 0.6667 0.9169
Ni 0.6667 0.3333 0.5836

Properties
- N(E_F) (states/eV per atom) = 2.638
- mass density (Mg/m³) = 2.923
- SG = R3m, No. 160

=====

Stability summary: most stable entry x, least stable entry y.

=====

Entry w
Density functional theory data (GGA-PBE) for CsK3O after structural relaxation.

a = 8.2440 Å, b = 8.2440 Å, c = 8.2440 Å
α = 90.00°, β = 90.00°, γ = 90.00°
Element x y z (fractional)
Cs 0.0000 0.0000 0.0000
K 0.0000 0.0000 0.5000
K 0.0000 0.5000 0.0000
K 0.5000 0.0000 0.0000
O 0.5000 0.5000 0.5000

Properties
- N(E_F) (states/eV per atom) = 2.757
- mass density (Mg/m³) = 0.789
- SG = Pm-3m, No. 221

=====

Entry x
Density functional theory data (GGA-PBE) for CsK3O after structural relaxation.

a = 6.0023 Å, b = 6.0023 Å, c = 6.0023 Å
α = 90.00°, β = 90.00°, γ = 90.00°
Element x y z (fractional)
Cs 0.0000 0.0000 0.0000
K 0.0000 0.5000 0.5000
K 0.5000 0.0000 0.5000
K 0.5000 0.5000 0.0000
O 0.5000 0.5000 0.5000

Properties
- N(E_F) (states/eV per atom) = 0.433
- mass density (Mg/m³) = 2.044
- SG = Pm-3m, No. 221

=====

Stability summary: most stable entry x, least stable entry w.

=====

Entry w
Density functional theory data (GGA-PBE) for Cs2K2O after structural relaxation.

a = 7.9620 Å, b = 16.0951 Å, c = 4.3321 Å
α = 90.00°, β = 90.00°, γ = 90.00°
Element x y z (fractional)
Cs 0.2364 0.1311 0.0000
Cs 0.2636 0.6311 0.0000
Cs 0.7363 0.3689 0.0000
Cs 0.7637 0.8689 0.0000
K 0.1673 0.9285 0.5000
K 0.3327 0.4285 0.5000
K 0.6673 0.5715 0.5000
K 0.8327 0.0715 0.5000
O 0.0000 0.0000 0.0000
O 0.5000 0.5000 0.0000

Properties
- N(E_F) (states/eV per atom) = 0.449
- mass density (Mg/m³) = 2.154
- SG = Pbam, No. 55

=====

Entry x
Density functional theory data (GGA-PBE) for Cs2K2O after structural relaxation.

a = 8.0193 Å, b = 8.0193 Å, c = 8.7840 Å
α = 90.00°, β = 90.00°, γ = 90.00°
Element x y z (fractional)
Cs 0.1915 0.3085 0.0000
Cs 0.3085 0.8085 0.0000
Cs 0.6915 0.1915 0.0000
Cs 0.8085 0.6915 0.0000
K 0.1926 0.6926 0.5000
K 0.3074 0.1926 0.5000
K 0.6926 0.8074 0.5000
K 0.8074 0.3074 0.5000
O 0.0000 0.0000 0.0000
O 0.5000 0.5000 0.0000

Properties
- N(E_F) (states/eV per atom) = 0.873
- mass density (Mg/m³) = 2.117
- SG = P4/mbm, No. 127

=====

Stability summary: most stable entry w, least stable entry x.

=====

Entry w
Density functional theory data (GGA-PBE) for CsK3Os after structural relaxation.

a = 6.5473 Å, b = 6.5473 Å, c = 6.5473 Å
α = 90.00°, β = 90.00°, γ = 90.00°
Element x y z (fractional)
Cs 0.0000 0.0000 0.0000
K 0.0000 0.5000 0.5000
K 0.5000 0.0000 0.5000
K 0.5000 0.5000 0.0000
Os 0.5000 0.5000 0.5000

Properties
- N(E_F) (states/eV per atom) = 0.598
- mass density (Mg/m³) = 2.606
- SG = Pm-3m, No. 221

=====

Entry x
Density functional theory data (GGA-PBE) for CsK3Os after structural relaxation.

a = 7.5678 Å, b = 7.5678 Å, c = 7.5678 Å
α = 90.00°, β = 90.00°, γ = 90.00°
Element x y z (fractional)
Cs 0.0000 0.0000 0.0000
K 0.0000 0.0000 0.5000
K 0.0000 0.5000 0.0000
K 0.5000 0.0000 0.0000
Os 0.5000 0.5000 0.5000

Properties
- N(E_F) (states/eV per atom) = 2.248
- mass density (Mg/m³) = 1.687
- SG = Pm-3m, No. 221

=====

Stability summary: most stable entry w, least stable entry x.

=====

Entry w
Density functional theory data (GGA-PBE) for CsKOs3 after structural relaxation.

a = 5.1644 Å, b = 5.1644 Å, c = 5.1644 Å
α = 90.00°, β = 90.00°, γ = 90.00°
Element x y z (fractional)
Cs 0.0000 0.0000 0.0000
K 0.5000 0.5000 0.5000
Os 0.0000 0.0000 0.5000
Os 0.0000 0.5000 0.0000
Os 0.5000 0.0000 0.0000

Properties
- N(E_F) (states/eV per atom) = 0.918
- mass density (Mg/m³) = 8.954
- SG = Pm-3m, No. 221

=====

Entry x
Density functional theory data (GGA-PBE) for CsKOs3 after structural relaxation.

a = 5.1253 Å, b = 5.1253 Å, c = 5.1253 Å
α = 90.00°, β = 90.00°, γ = 90.00°
Element x y z (fractional)
Cs 0.0000 0.0000 0.0000
K 0.5000 0.5000 0.5000
Os 0.0000 0.5000 0.5000
Os 0.5000 0.0000 0.5000
Os 0.5000 0.5000 0.0000

Properties
- N(E_F) (states/eV per atom) = 1.409
- mass density (Mg/m³) = 9.160
- SG = Pm-3m, No. 221

=====

Stability summary: most stable entry w, least stable entry x.

=====

Entry w
Density functional theory data (GGA-PBE) for Cs2K2P after structural relaxation.

a = 9.0541 Å, b = 9.0541 Å, c = 7.4406 Å
α = 90.00°, β = 90.00°, γ = 90.00°
Element x y z (fractional)
Cs 0.1561 0.3439 0.0000
Cs 0.3439 0.8439 0.0000
Cs 0.6561 0.1561 0.0000
Cs 0.8439 0.6561 0.0000
K 0.1955 0.6955 0.5000
K 0.3045 0.1955 0.5000
K 0.6955 0.8045 0.5000
K 0.8045 0.3045 0.5000
P 0.0000 0.0000 0.0000
P 0.5000 0.5000 0.0000

Properties
- N(E_F) (states/eV per atom) = 0.652
- mass density (Mg/m³) = 2.042
- SG = P4/mbm, No. 127

=====

Entry x
Density functional theory data (GGA-PBE) for Cs2K2P after structural relaxation.

a = 5.5332 Å, b = 5.5332 Å, c = 32.8956 Å
α = 90.00°, β = 90.00°, γ = 120.00°
Element x y z (fractional)
Cs 0.0000 0.0000 0.2351
Cs 0.0000 0.0000 0.7649
Cs 0.3333 0.6667 0.4316
Cs 0.3333 0.6667 0.9018
Cs 0.6667 0.3333 0.0982
Cs 0.6667 0.3333 0.5684
K 0.0000 0.0000 0.3582
K 0.0000 0.0000 0.6418
K 0.3333 0.6667 0.0248
K 0.3333 0.6667 0.3085
K 0.6667 0.3333 0.6915
K 0.6667 0.3333 0.9752
P 0.0000 0.0000 0.0000
P 0.3333 0.6667 0.6667
P 0.6667 0.3333 0.3333

Properties
- N(E_F) (states/eV per atom) = 0.365
- mass density (Mg/m³) = 2.142
- SG = R-3m, No. 166

=====

Stability summary: most stable entry x, least stable entry w.

=====

Entry w
Density functional theory data (GGA-PBE) for CsK2P2 after structural relaxation.

a = 7.5582 Å, b = 7.5582 Å, c = 9.1742 Å
α = 100.82°, β = 100.82°, γ = 47.23°
Element x y z (fractional)
Cs 0.1550 0.8450 0.7500
Cs 0.8450 0.1550 0.2500
K 0.1564 0.4833 0.3436
K 0.4833 0.1564 0.8436
K 0.5167 0.8436 0.1564
K 0.8436 0.5167 0.6564
P 0.0018 0.6433 0.0015
P 0.3567 0.9982 0.4985
P 0.6433 0.0018 0.5015
P 0.9982 0.3567 0.9985

Properties
- N(E_F) (states/eV per atom) = 0.753
- mass density (Mg/m³) = 2.408
- SG = C2/c, No. 15

=====

Entry x
Density functional theory data (GGA-PBE) for CsK2P2 after structural relaxation.

a = 8.6286 Å, b = 8.6286 Å, c = 5.0427 Å
α = 90.00°, β = 90.00°, γ = 90.00°
Element x y z (fractional)
Cs 0.0000 0.0000 0.0000
Cs 0.5000 0.5000 0.0000
K 0.1565 0.3435 0.5000
K 0.3435 0.8435 0.5000
K 0.6565 0.1565 0.5000
K 0.8435 0.6565 0.5000
P 0.0888 0.5888 0.0000
P 0.4112 0.0888 0.0000
P 0.5888 0.9112 0.0000
P 0.9112 0.4112 0.0000

Properties
- N(E_F) (states/eV per atom) = 0.718
- mass density (Mg/m³) = 2.415
- SG = P4/mbm, No. 127

=====

Stability summary: most stable entry w, least stable entry x.

=====

Entry w
Density functional theory data (GGA-PBE) for CsK2P2 after structural relaxation.

a = 5.3943 Å, b = 5.3943 Å, c = 12.1523 Å
α = 90.00°, β = 90.00°, γ = 90.00°
Element x y z (fractional)
Cs 0.0000 0.0000 0.0000
Cs 0.5000 0.5000 0.5000
K 0.0000 0.5000 0.2500
K 0.0000 0.5000 0.7500
K 0.5000 0.0000 0.2500
K 0.5000 0.0000 0.7500
P 0.0000 0.0000 0.4110
P 0.0000 0.0000 0.5890
P 0.5000 0.5000 0.0890
P 0.5000 0.5000 0.9110

Properties
- N(E_F) (states/eV per atom) = 0.472
- mass density (Mg/m³) = 2.564
- SG = I4/mmm, No. 139

=====

Entry x
Density functional theory data (GGA-PBE) for CsK2P2 after structural relaxation.

a = 9.8522 Å, b = 9.8522 Å, c = 3.2690 Å
α = 90.00°, β = 90.00°, γ = 90.00°
Element x y z (fractional)
Cs 0.0000 0.0000 0.0000
Cs 0.5000 0.5000 0.0000
K 0.1229 0.3771 0.0000
K 0.3771 0.8771 0.0000
K 0.6229 0.1229 0.0000
K 0.8771 0.6229 0.0000
P 0.1733 0.6733 0.5000
P 0.3267 0.1733 0.5000
P 0.6733 0.8267 0.5000
P 0.8267 0.3267 0.5000

Properties
- N(E_F) (states/eV per atom) = 0.973
- mass density (Mg/m³) = 2.858
- SG = P4/mbm, No. 127

=====

Entry y
Density functional theory data (GGA-PBE) for CsK2P2 after structural relaxation.

a = 5.6181 Å, b = 5.6181 Å, c = 11.9749 Å
α = 90.00°, β = 90.00°, γ = 90.00°
Element x y z (fractional)
Cs 0.0000 0.0000 0.0000
Cs 0.5000 0.5000 0.5000
K 0.0000 0.0000 0.3593
K 0.0000 0.0000 0.6407
K 0.5000 0.5000 0.1407
K 0.5000 0.5000 0.8593
P 0.0000 0.5000 0.2500
P 0.0000 0.5000 0.7500
P 0.5000 0.0000 0.2500
P 0.5000 0.0000 0.7500

Properties
- N(E_F) (states/eV per atom) = 0.843
- mass density (Mg/m³) = 2.399
- SG = I4/mmm, No. 139

=====

Stability summary: most stable entry w, least stable entry y.

=====

Entry w
Density functional theory data (GGA-PBE) for Cs2KPPt after structural relaxation.

a = 7.3012 Å, b = 7.3012 Å, c = 4.4521 Å
α = 90.00°, β = 90.00°, γ = 90.00°
Element x y z (fractional)
Cs 0.0000 0.5000 0.0000
Cs 0.5000 0.0000 0.0000
K 0.0000 0.0000 0.5000
P 0.5000 0.5000 0.5000
Pt 0.5000 0.5000 0.0000

Properties
- N(E_F) (states/eV per atom) = 0.551
- mass density (Mg/m³) = 3.715
- SG = P4/mmm, No. 123

=====

Entry x
Density functional theory data (GGA-PBE) for Cs2KPPt after structural relaxation.

a = 7.2730 Å, b = 7.2730 Å, c = 4.4336 Å
α = 90.00°, β = 90.00°, γ = 90.00°
Element x y z (fractional)
Cs 0.0000 0.5000 0.0000
Cs 0.5000 0.0000 0.0000
K 0.0000 0.0000 0.5000
P 0.5000 0.5000 0.0000
Pt 0.5000 0.5000 0.5000

Properties
- N(E_F) (states/eV per atom) = 0.609
- mass density (Mg/m³) = 3.759
- SG = P4/mmm, No. 123

=====

Stability summary: most stable entry x, least stable entry w.

=====

Entry w
Density functional theory data (GGA-PBE) for CsKP2S after structural relaxation.

a = 5.9735 Å, b = 5.9735 Å, c = 5.9827 Å
α = 90.00°, β = 90.00°, γ = 90.00°
Element x y z (fractional)
Cs 0.0000 0.0000 0.0000
K 0.5000 0.5000 0.5000
P 0.0000 0.5000 0.0000
P 0.5000 0.0000 0.0000
S 0.0000 0.0000 0.5000

Properties
- N(E_F) (states/eV per atom) = 0.577
- mass density (Mg/m³) = 2.069
- SG = P4/mmm, No. 123

=====

Entry x
Density functional theory data (GGA-PBE) for CsKP2S after structural relaxation.

a = 6.2435 Å, b = 6.2435 Å, c = 5.9474 Å
α = 90.00°, β = 90.00°, γ = 90.00°
Element x y z (fractional)
Cs 0.0000 0.0000 0.0000
K 0.5000 0.5000 0.5000
P 0.0000 0.5000 0.5000
P 0.5000 0.0000 0.5000
S 0.5000 0.5000 0.0000

Properties
- N(E_F) (states/eV per atom) = 1.014
- mass density (Mg/m³) = 1.905
- SG = P4/mmm, No. 123

=====

Stability summary: most stable entry x, least stable entry w.